DFT (PBE+U) results for an optimized crystal structure of CoTcAuO2.

Calculated values
Uncorrected energy in eV/atom: -4.4888

Cell lengths 4.0798, 4.0798, 4.8954 Å; angles 90.00, 90.00, 90.00 degrees
Closest atoms and distances in Å follow each position.
Space group P4/mmm (No. 123)
Inequivalent atoms, fractional coordinates:
Co  0.0000  0.0000  0.0000 (multiplicity 1)  2 Au 2.45
Tc  0.5000  0.5000  0.0000 (multiplicity 1)  4 Co 2.88, 8 O 3.19
Au  0.0000  0.0000  0.5000 (multiplicity 1)  4 O 2.04
O  0.0000  0.5000  0.5000 (multiplicity 2)  2 Au 2.04